Below is HgH3Rh at its PBEsol-relaxed geometry, with properties calculated at the SCAN level.

Cell: 3.536 3.536 3.536 Å, 90.00 90.00 90.00°
Sites, in units of the cell vectors:
Hg1 0.000 0.000 0.000
H1 0.000 0.500 0.500
H2 0.500 0.000 0.500
H3 0.500 0.500 0.000
Rh1 0.500 0.500 0.500

Computed properties:
The space group is No. 221. The calculated total energy is -22.207 eV per atom.

***

Below is Li2ScAu at its PBEsol-relaxed geometry, with properties calculated at the SCAN level.

Cell: 4.759 4.759 4.759 Å, 126.59 126.59 78.91°
Sites, in units of the cell vectors:
Li1 0.000 0.000 0.000
Li2 0.750 0.250 0.500
Sc1 0.250 0.750 0.500
Au1 0.500 0.500 0.000

Computed properties:
The calculation puts the formation energy at -0.510 eV per atom. The space group is No. 119.

***

Below is BaSn2H2O4 at its PBEsol-relaxed geometry, with properties calculated at the SCAN level.

Cell: 7.171 5.765 7.485 Å, 90.00 108.31 90.00°
Sites, in units of the cell vectors:
Ba1 0.190 0.000 0.433
Ba2 0.810 0.500 0.567
Sn1 0.088 0.000 0.895
Sn2 0.354 0.500 0.854
Sn3 0.646 0.000 0.146
Sn4 0.912 0.500 0.105
H1 0.296 0.500 0.210
H2 0.361 0.501 0.508
H3 0.639 0.001 0.492
H4 0.704 0.000 0.790
O1 0.145 0.749 0.724
O2 0.146 0.251 0.724
O3 0.208 0.500 0.288
O4 0.468 0.501 0.633
O5 0.532 0.001 0.367
O6 0.792 0.000 0.712
O7 0.854 0.751 0.276
O8 0.855 0.249 0.276

Computed properties:
The space group is No. 4. The calculated total energy is -17.605 eV per atom.

***

Below is BSb2Br at its PBEsol-relaxed geometry, with properties calculated at the SCAN level.

Cell: 6.492 6.492 6.492 Å, 117.73 117.73 93.99°
Sites, in units of the cell vectors:
B1 0.000 0.000 0.000
B2 0.750 0.250 0.500
Sb1 0.035 0.125 0.410
Sb2 0.375 0.965 0.090
Sb3 0.715 0.625 0.590
Sb4 0.875 0.285 0.910
Br1 0.250 0.750 0.500
Br2 0.500 0.500 0.000

Computed properties:
The space group is No. 122. Its uncorrected formation energy is 559 meV/atom.

***

Below is K2ZnW2 at its PBEsol-relaxed geometry, with properties calculated at the SCAN level.

Cell: 8.304 8.304 8.304 Å, 154.05 154.05 37.02°
Sites, in units of the cell vectors:
K1 0.250 0.750 0.500
K2 0.750 0.250 0.500
Zn1 0.000 0.000 0.000
W1 0.431 0.431 0.000
W2 0.569 0.569 0.000

Computed properties:
The calculation puts the formation energy at 1.815 eV per atom. The space group is No. 139.

***

Below is CuHg2W at its PBEsol-relaxed geometry, with properties calculated at the SCAN level.

Cell: 5.788 5.788 5.788 Å, 152.42 129.32 58.66°
Sites, in units of the cell vectors:
Cu1 0.000 0.000 0.000
Hg1 0.479 0.479 0.000
Hg2 0.756 0.256 0.500
W1 0.218 0.718 0.500

Computed properties:
The calculation puts the formation energy at 0.714 eV per atom. The space group is No. 44.

***

Below is Ba2ScTi2BiO9 at its PBEsol-relaxed geometry, with properties calculated at the SCAN level.

Cell: 8.892 8.892 3.995 Å, 90.00 90.00 142.65°
Sites, in units of the cell vectors:
Ba1 0.167 0.833 0.000
Ba2 0.833 0.167 0.000
Sc1 0.000 0.000 0.500
Ti1 0.334 0.666 0.500
Ti2 0.666 0.334 0.500
Bi1 0.500 0.500 0.000
O1 0.000 0.000 0.000
O2 0.000 0.500 0.500
O3 0.187 0.353 0.500
O4 0.337 0.663 0.000
O5 0.353 0.187 0.500
O6 0.500 0.000 0.500
O7 0.647 0.813 0.500
O8 0.663 0.337 0.000
O9 0.813 0.647 0.500

Computed properties:
The space group is No. 65. Its uncorrected formation energy is -3015 meV/atom.

***

Below is ZnSe2Cl at its PBEsol-relaxed geometry, with properties calculated at the SCAN level.

Cell: 10.353 10.353 10.353 Å, 156.36 156.36 33.68°
Sites, in units of the cell vectors:
Zn1 0.000 0.000 0.000
Zn2 0.750 0.250 0.500
Se1 0.014 0.625 0.889
Se2 0.375 0.264 0.389
Se3 0.736 0.125 0.111
Se4 0.875 0.986 0.611
Cl1 0.250 0.750 0.500
Cl2 0.500 0.500 0.000

Computed properties:
The space group is No. 122. Its uncorrected formation energy is -49 meV/atom.

***

Record-wise volume values, in A^3/atom: 8.84, 16.80, 16.32, 24.95, 21.90, 17.25, 12.77, 22.28
Record-wise size of the total moment values, in μB per cell: 0.0, 0.1, 0.0, 0.0, 0.0, 0.0, 0.0, 0.0